(1)
HgRh: relaxed, PBE-GGA.

```
data_HgRh
_chemical_formula_sum 'Hg6 Rh6'
_symmetry_space_group_name_H-M 'P m -3 n'
_symmetry_Int_Tables_number 223
_symmetry_space_group_name_Hall '-P 4n 2 3'
_cell_length_a 7.457
_cell_length_b 7.457
_cell_length_c 7.457
_cell_angle_alpha 90.00
_cell_angle_beta 90.00
_cell_angle_gamma 90.00
loop_
_atom_site_label
_atom_site_fract_x
_atom_site_fract_y
_atom_site_fract_z
Hg1 0.000 0.250 0.500
Rh1 0.000 0.500 0.250
```

Results
energy relative to the elements	2.38	eV per formula unit
DFT total energy	-2.637	eV/atom

(2)
Pm5BiSb4: relaxed, PBE-GGA.

```
data_Pm5BiSb4
_chemical_formula_sum 'Pm10 Bi2 Sb8'
_symmetry_space_group_name_H-M 'I m m m'
_symmetry_Int_Tables_number 71
_symmetry_space_group_name_Hall '-I 2 2'
_cell_length_a 4.510
_cell_length_b 6.373
_cell_length_c 22.541
_cell_angle_alpha 90.00
_cell_angle_beta 90.00
_cell_angle_gamma 90.00
loop_
_atom_site_label
_atom_site_fract_x
_atom_site_fract_y
_atom_site_fract_z
Pm1 0.000 0.000 0.000
Pm2 0.000 0.000 0.200
Pm3 0.000 0.000 0.398
Bi1 0.000 0.500 0.000
Sb1 0.000 0.500 0.201
Sb2 0.000 0.500 0.400
```

Results
DFT total energy	-5.551	eV/atom
ΔE_f (raw)	-1.138	eV per atom

(3)
Sc2TcMo: relaxed, PBE-GGA.

```
data_Sc2TcMo
_chemical_formula_sum 'Sc6 Tc3 Mo3'
_symmetry_space_group_name_H-M 'R -3 m'
_symmetry_Int_Tables_number 166
_symmetry_space_group_name_Hall '-R 3 2"'
_cell_length_a 3.0904
_cell_length_b 3.0904
_cell_length_c 26.1864
_cell_angle_alpha 90.00
_cell_angle_beta 90.00
_cell_angle_gamma 120.00
loop_
_atom_site_label
_atom_site_fract_x
_atom_site_fract_y
_atom_site_fract_z
Sc1 0.0000 0.0000 0.2438
Tc1 0.0000 0.0000 0.5000
Mo1 0.0000 0.0000 0.0000
```

Results
energy above the lowest structure with this stoichiometry	131	kJ/mol of formula units
energy relative to the elements	0.87	eV per formula unit
DFT total energy	-8.248	eV/atom

(4)
CaErAuO4: relaxed, PBE-GGA.

```
data_CaErAuO4
_chemical_formula_sum 'Ca4 Er4 Au4 O16'
_symmetry_space_group_name_H-M 'C m c m'
_symmetry_Int_Tables_number 63
_symmetry_space_group_name_Hall '-C 2c 2'
_cell_length_a 6.096
_cell_length_b 10.626
_cell_length_c 6.729
_cell_angle_alpha 90.00
_cell_angle_beta 90.00
_cell_angle_gamma 90.00
loop_
_atom_site_label
_atom_site_fract_x
_atom_site_fract_y
_atom_site_fract_z
Ca1 0.000 0.000 0.000
Er1 0.000 0.333 0.250
Au1 0.000 0.357 0.750
O1 0.000 0.221 0.520
O2 0.232 0.487 0.250
```

Results
DFT total energy	-6.038	eV/atom
ΔE_f (raw)	-1.798	eV per atom

(5)
Mg2BeRuO6: relaxed, PBE-GGA.

```
data_Mg2BeRuO6
_chemical_formula_sum 'Mg2 Be1 Ru1 O6'
_symmetry_space_group_name_H-M 'P 4 m m'
_symmetry_Int_Tables_number 99
_symmetry_space_group_name_Hall 'P 4 -2'
_cell_length_a 4.975
_cell_length_b 4.975
_cell_length_c 4.737
_cell_angle_alpha 90.00
_cell_angle_beta 90.00
_cell_angle_gamma 90.00
loop_
_atom_site_label
_atom_site_fract_x
_atom_site_fract_y
_atom_site_fract_z
Mg1 0.000 0.500 0.000
Be1 0.000 0.000 0.600
Ru1 0.500 0.500 0.621
O1 0.000 0.000 0.282
O2 0.251 0.251 0.780
O3 0.500 0.500 0.257
```

Results
DFT total energy	-6.122	eV/atom
ΔE_f (raw)	-1.528	eV per atom

(6)
Mg3Si4: relaxed, PBE-GGA.

```
data_Mg3Si4
_chemical_formula_sum 'Mg6 Si8'
_symmetry_space_group_name_H-M 'P 1'
_symmetry_Int_Tables_number 1
_symmetry_space_group_name_Hall 'P 1'
_cell_length_a 5.828
_cell_length_b 6.688
_cell_length_c 7.549
_cell_angle_alpha 107.08
_cell_angle_beta 102.14
_cell_angle_gamma 103.33
loop_
_atom_site_label
_atom_site_fract_x
_atom_site_fract_y
_atom_site_fract_z
Mg1 0.000 0.000 0.000
Mg2 0.031 0.477 0.938
Mg3 0.233 0.739 0.678
Mg4 0.587 0.299 0.131
Mg5 0.678 0.665 0.552
Mg6 0.880 0.179 0.467
Si1 0.169 0.416 0.304
Si2 0.239 0.805 0.314
Si3 0.283 0.195 0.754
Si4 0.405 0.208 0.467
Si5 0.457 0.872 0.091
Si6 0.565 0.575 0.882
Si7 0.654 0.088 0.736
Si8 0.798 0.735 0.229
```

Results
energy above the lowest structure with this stoichiometry	42	kJ/mol of formula units
DFT total energy	-3.669	eV/atom
ΔE_f (raw)	0.114	eV per atom

(7)
ScCd2Rh: relaxed, PBE-GGA.

```
data_ScCd2Rh
_chemical_formula_sum 'Sc4 Cd8 Rh4'
_symmetry_space_group_name_H-M 'I -4 2 d'
_symmetry_Int_Tables_number 122
_symmetry_space_group_name_Hall 'I -4 2bw'
_cell_length_a 3.941
_cell_length_b 3.941
_cell_length_c 21.030
_cell_angle_alpha 90.00
_cell_angle_beta 90.00
_cell_angle_gamma 90.00
loop_
_atom_site_label
_atom_site_fract_x
_atom_site_fract_y
_atom_site_fract_z
Sc1 0.000 0.000 0.000
Cd1 0.239 0.250 0.625
Rh1 0.000 0.000 0.500
```

Results
energy relative to the elements	-0.54	eV per formula unit
DFT total energy	-4.013	eV/atom

(8)
TeAs2AuF: relaxed, PBE-GGA.

```
data_TeAs2AuF
_chemical_formula_sum 'Te1 As2 Au1 F1'
_symmetry_space_group_name_H-M 'P 4/m m m'
_symmetry_Int_Tables_number 123
_symmetry_space_group_name_Hall '-P 4 2'
_cell_length_a 5.077
_cell_length_b 5.077
_cell_length_c 4.323
_cell_angle_alpha 90.00
_cell_angle_beta 90.00
_cell_angle_gamma 90.00
loop_
_atom_site_label
_atom_site_fract_x
_atom_site_fract_y
_atom_site_fract_z
Te1 0.000 0.000 0.000
As1 0.000 0.500 0.500
Au1 0.500 0.500 0.500
F1 0.500 0.500 0.000
```

Results
DFT total energy	-3.439	eV/atom
ΔE_f (raw)	0.079	eV per atom

(9)
YMg4Tl5: relaxed, PBE-GGA.

```
data_YMg4Tl5
_chemical_formula_sum 'Y1 Mg4 Tl5'
_symmetry_space_group_name_H-M 'P 4/m m m'
_symmetry_Int_Tables_number 123
_symmetry_space_group_name_Hall '-P 4 2'
_cell_length_a 3.692
_cell_length_b 3.692
_cell_length_c 18.455
_cell_angle_alpha 90.00
_cell_angle_beta 90.00
_cell_angle_gamma 90.00
loop_
_atom_site_label
_atom_site_fract_x
_atom_site_fract_y
_atom_site_fract_z
Y1 0.000 0.000 0.000
Mg1 0.000 0.000 0.205
Mg2 0.000 0.000 0.401
Tl1 0.500 0.500 0.109
Tl2 0.500 0.500 0.303
Tl3 0.500 0.500 0.500
```

Results
energy relative to the elements	-0.97	eV per formula unit
DFT total energy	-2.565	eV/atom

(10)
Re2PbBr: relaxed, PBE-GGA.

```
data_Re2PbBr
_chemical_formula_sum 'Re6 Pb3 Br3'
_symmetry_space_group_name_H-M 'R 3 m'
_symmetry_Int_Tables_number 160
_symmetry_space_group_name_Hall 'R 3 -2"'
_cell_length_a 3.0571
_cell_length_b 3.0571
_cell_length_c 31.1227
_cell_angle_alpha 90.00
_cell_angle_beta 90.00
_cell_angle_gamma 120.00
loop_
_atom_site_label
_atom_site_fract_x
_atom_site_fract_y
_atom_site_fract_z
Re1 0.0000 0.0000 0.0000
Re2 0.0000 0.0000 0.2698
Pb1 0.0000 0.0000 0.5204
Br1 0.0000 0.0000 0.7318
```

Results
energy above the lowest structure with this stoichiometry	102	kJ/mol of formula units
DFT total energy	-6.998	eV/atom
ΔE_f (raw)	0.571	eV per atom

(11)
LaIn2Fe: relaxed, PBE-GGA.

```
data_LaIn2Fe
_chemical_formula_sum 'La2 In4 Fe2'
_symmetry_space_group_name_H-M 'I m m m'
_symmetry_Int_Tables_number 71
_symmetry_space_group_name_Hall '-I 2 2'
_cell_length_a 3.394
_cell_length_b 5.183
_cell_length_c 10.728
_cell_angle_alpha 90.00
_cell_angle_beta 90.00
_cell_angle_gamma 90.00
loop_
_atom_site_label
_atom_site_fract_x
_atom_site_fract_y
_atom_site_fract_z
La1 0.000 0.000 0.000
In1 0.000 0.500 0.210
Fe1 0.000 0.000 0.500
```

Results
energy relative to the elements	0.09	eV per formula unit
DFT total energy	-4.695	eV/atom

(12)
Th3CoOs2: relaxed, PBE-GGA.

```
data_Th3CoOs2
_chemical_formula_sum 'Th12 Co4 Os8'
_symmetry_space_group_name_H-M 'P n m a'
_symmetry_Int_Tables_number 62
_symmetry_space_group_name_Hall '-P 2ac 2n'
_cell_length_a 11.702
_cell_length_b 3.962
_cell_length_c 11.871
_cell_angle_alpha 90.00
_cell_angle_beta 90.00
_cell_angle_gamma 90.00
loop_
_atom_site_label
_atom_site_fract_x
_atom_site_fract_y
_atom_site_fract_z
Th1 0.054 0.250 0.124
Th2 0.126 0.750 0.557
Th3 0.211 0.250 0.807
Co1 0.121 0.250 0.369
Os1 0.012 0.750 0.310
Os2 0.181 0.750 0.991
```

Results
energy relative to the elements	-1.69	eV per formula unit
DFT total energy	-8.919	eV/atom